Record 1
## LuTlPdSe3 (PBE-GGA)

Data for a geometry-optimized LuTlPdSe3 structure.

* final energy: -4.643 eV per atom
* calculated volume: 322 Å³ per cell
* ΔE to the lowest computed polymorph: 0.007 eV per atom

Unit cell a=8.3121 b=3.9922 c=10.4363 alpha=90.00 beta=111.43 gamma=90.00
Closest atoms and distances in Å follow each position.
Fractional coordinates of all 12 atoms:
Se: 0.7716 0.7500 0.9529  3 Pd 2.49-2.57
Pd: 0.9073 0.2500 0.8917  4 Se 2.49-2.57
Tl: 0.7394 0.2500 0.2152  6 Se 3.24-3.48
Se: 0.0664 0.7500 0.3445  1 Pd 2.55, 2 Lu 2.81
Tl: 0.2606 0.7500 0.7848  6 Se 3.24-3.48
Se: 0.5538 0.7500 0.3628  3 Lu 2.76-2.83
Se: 0.2284 0.2500 0.0471  3 Pd 2.49-2.57
Lu: 0.3083 0.2500 0.3534  6 Se 2.76-3.02
Lu: 0.6917 0.7500 0.6466  6 Se 2.76-3.02
Se: 0.4462 0.2500 0.6372  3 Lu 2.76-2.83
Pd: 0.0927 0.7500 0.1083  4 Se 2.49-2.57
Se: 0.9336 0.2500 0.6555  1 Pd 2.55, 2 Lu 2.81

Record 2
## LuTlPdSe3 (PBE-GGA)

Data for a geometry-optimized LuTlPdSe3 structure.

* final energy: -4.650 eV per atom
* calculated volume: 634 Å³ per cell
* ΔE to the lowest computed polymorph: 0.000 eV per atom

Unit cell a=15.0065 b=3.9810 c=10.6198 alpha=90.00 beta=90.00 gamma=90.00
Closest atoms and distances in Å follow each position.
Fractional coordinates of all 24 atoms:
Se: 0.0930 0.7500 0.6124  3 Pd 2.48-2.58
Se: 0.1381 0.7500 0.2466  1 Pd 2.60, 2 Lu 2.80
Se: 0.4070 0.2500 0.1124  3 Pd 2.48-2.58
Lu: 0.9785 0.7500 0.8382  6 Se 2.77-2.95
Lu: 0.5215 0.2500 0.3382  6 Se 2.77-2.95
Lu: 0.0215 0.2500 0.1618  6 Se 2.77-2.95
Se: 0.4024 0.7500 0.4246  3 Lu 2.77-2.83
Se: 0.0976 0.2500 0.9246  3 Lu 2.77-2.83
Pd: 0.9947 0.2500 0.5963  4 Se 2.48-2.60
Pd: 0.0053 0.7500 0.4037  4 Se 2.48-2.60
Tl: 0.7624 0.7500 0.5461  6 Se 3.19-3.39
Se: 0.5930 0.7500 0.8876  3 Pd 2.48-2.58
Se: 0.8619 0.2500 0.7534  1 Pd 2.60, 2 Lu 2.80
Tl: 0.2376 0.2500 0.4539  6 Se 3.19-3.39
Pd: 0.4947 0.2500 0.9037  4 Se 2.48-2.60
Tl: 0.2624 0.7500 0.9539  6 Se 3.19-3.39
Pd: 0.5053 0.7500 0.0963  4 Se 2.48-2.60
Se: 0.6381 0.7500 0.2534  1 Pd 2.60, 2 Lu 2.80
Se: 0.3619 0.2500 0.7466  1 Pd 2.60, 2 Lu 2.80
Se: 0.9070 0.2500 0.3876  3 Pd 2.48-2.58
Se: 0.5976 0.2500 0.5754  3 Lu 2.77-2.83
Tl: 0.7376 0.2500 0.0461  6 Se 3.19-3.39
Lu: 0.4785 0.7500 0.6618  6 Se 2.77-2.95
Se: 0.9024 0.7500 0.0754  3 Lu 2.77-2.83

Record 3
## Lu6Si2Pd (PBE-GGA)

Data for a geometry-optimized Lu6Si2Pd structure.

* final energy: -5.357 eV per atom
* calculated volume: 211 Å³ per cell

Unit cell a=7.6482 b=7.6482 c=4.1679 alpha=90.00 beta=90.00 gamma=120.00
Closest atoms and distances in Å follow each position.
Fractional coordinates of all 9 atoms:
Lu: 0.0000 0.5961 0.0000  1 Pd 3.09, 4 Si 3.12, 6 Lu 3.30-3.42
Si: 0.3333 0.6667 0.5000  9 Lu 2.87-3.12
Lu: 0.4039 0.4039 0.0000  1 Pd 3.09, 4 Si 3.12, 6 Lu 3.30-3.42
Lu: 0.7388 0.7388 0.5000  2 Si 2.87, 2 Pd 2.89
Lu: 0.0000 0.2612 0.5000  2 Si 2.87, 2 Pd 2.89
Pd: 0.0000 0.0000 0.0000  9 Lu 2.89-3.09
Lu: 0.5961 0.0000 0.0000  1 Pd 3.09, 4 Si 3.12, 6 Lu 3.30-3.42
Lu: 0.2612 0.0000 0.5000  2 Si 2.87, 2 Pd 2.89
Si: 0.6667 0.3333 0.5000  9 Lu 2.87-3.12

Record 4
## LuSiPd2 (PBE-GGA)

Data for a geometry-optimized LuSiPd2 structure.

* final energy: -5.662 eV per atom
* calculated volume: 68 Å³ per cell

Unit cell a=4.5887 b=4.5887 c=4.5887 alpha=60.00 beta=60.00 gamma=60.00
Closest atoms and distances in Å follow each position.
Fractional coordinates of all 4 atoms:
Si: 0.5000 0.5000 0.5000  4 Pd 2.81, 4 Lu 2.81
Lu: 0.2500 0.2500 0.2500  4 Si 2.81, 4 Pd 2.81
Pd: 0.0000 0.0000 0.0000  4 Pd 2.81, 4 Lu 2.81
Pd: 0.7500 0.7500 0.7500  4 Si 2.81, 4 Pd 2.81

Record 5
## LuSiPd (PBE-GGA)

Data for a geometry-optimized LuSiPd structure.

* final energy: -5.768 eV per atom
* calculated volume: 61 Å³ per cell

Unit cell a=4.4159 b=4.4159 c=4.4159 alpha=60.00 beta=60.00 gamma=60.00
Closest atoms and distances in Å follow each position.
Fractional coordinates of all 3 atoms:
Si: 0.7500 0.7500 0.7500  4 Pd 2.70
Pd: 0.0000 0.0000 0.0000  4 Lu 2.70, 4 Si 2.70
Lu: 0.2500 0.2500 0.2500  4 Pd 2.70

Record 6
## LuSiPd2 (PBE-GGA)

Data for a geometry-optimized LuSiPd2 structure.

* final energy: -6.071 eV per atom
* calculated volume: 273 Å³ per cell

Unit cell a=7.1620 b=6.9937 c=5.4562 alpha=90.00 beta=90.00 gamma=90.00
Closest atoms and distances in Å follow each position.
Fractional coordinates of all 16 atoms:
Lu: 0.9749 0.7500 0.1392  3 Si 2.91-2.95, 8 Pd 2.95-3.10
Lu: 0.0251 0.2500 0.8608  3 Si 2.91-2.95, 8 Pd 2.95-3.10
Pd: 0.6805 0.4487 0.0940  3 Si 2.47-2.58
Pd: 0.1805 0.0513 0.4060  3 Si 2.47-2.58
Pd: 0.3195 0.9487 0.9060  3 Si 2.47-2.58
Pd: 0.8195 0.5513 0.5940  3 Si 2.47-2.58
Si: 0.3790 0.2500 0.1374  6 Pd 2.47-2.58
Si: 0.1210 0.7500 0.6374  6 Pd 2.47-2.58
Pd: 0.3195 0.5513 0.9060  3 Si 2.47-2.58
Pd: 0.1805 0.4487 0.4060  3 Si 2.47-2.58
Lu: 0.4749 0.7500 0.3608  3 Si 2.91-2.95, 8 Pd 2.95-3.10
Pd: 0.8195 0.9487 0.5940  3 Si 2.47-2.58
Si: 0.6210 0.7500 0.8626  6 Pd 2.47-2.58
Pd: 0.6805 0.0513 0.0940  3 Si 2.47-2.58
Si: 0.8790 0.2500 0.3626  6 Pd 2.47-2.58
Lu: 0.5251 0.2500 0.6392  3 Si 2.91-2.95, 8 Pd 2.95-3.10

Record 7
## SmLu2Si4Pd4 (PBE-GGA)

Data for a geometry-optimized SmLu2Si4Pd4 structure.

* final energy: -6.079 eV per atom
* calculated volume: 194 Å³ per cell

Unit cell a=7.9062 b=7.9062 c=7.9062 alpha=150.15 beta=127.47 gamma=61.60
Closest atoms and distances in Å follow each position.
Fractional coordinates of all 11 atoms:
Pd: 0.6221 0.3246 0.2975  4 Si 2.51-2.56
Si: 0.2212 0.2212 0.0000  6 Pd 2.51-2.56
Pd: 0.3779 0.6754 0.7025  4 Si 2.51-2.56
Pd: 0.0272 0.3246 0.7025  4 Si 2.51-2.56
Lu: 0.3756 0.8756 0.5000  6 Si 2.92, 6 Pd 2.99-3.07
Si: 0.7788 0.7788 0.0000  6 Pd 2.51-2.56
Pd: 0.9728 0.6754 0.2975  4 Si 2.51-2.56
Si: 0.3220 0.5000 0.8220  1 Si 2.49, 2 Pd 2.52
Sm: 0.0000 0.0000 0.0000  6 Si 3.00-3.04
Lu: 0.6244 0.1244 0.5000  6 Si 2.92, 6 Pd 2.99-3.07
Si: 0.6780 0.5000 0.1780  1 Si 2.49, 2 Pd 2.52

Record 8
## TbLuSi2Pd (PBE-GGA)

Data for a geometry-optimized TbLuSi2Pd structure.

* final energy: -5.946 eV per atom
* calculated volume: 195 Å³ per cell
* ΔE to the lowest computed polymorph: 0.010 eV per atom

Unit cell a=5.5931 b=5.5931 c=10.0748 alpha=115.98 beta=115.98 gamma=44.65
Closest atoms and distances in Å follow each position.
Fractional coordinates of all 10 atoms:
Pd: 0.2764 0.2764 0.1445  4 Si 2.49-2.68
Lu: 0.1847 0.1847 0.6057  6 Si 2.93-3.03, 2 Pd 3.17
Pd: 0.7236 0.7236 0.8555  4 Si 2.49-2.68
Si: 0.4786 0.4786 0.6105  1 Si 2.47, 1 Pd 2.57
Tb: 0.9994 0.9994 0.1788  6 Si 2.93-3.05, 4 Pd 3.03-3.15
Si: 0.3654 0.3654 0.9343  1 Si 2.45, 3 Pd 2.49-2.68
Lu: 0.8153 0.8153 0.3943  6 Si 2.93-3.03, 2 Pd 3.17
Tb: 0.0006 0.0006 0.8212  6 Si 2.93-3.05, 4 Pd 3.03-3.15
Si: 0.6346 0.6346 0.0657  1 Si 2.45, 3 Pd 2.49-2.68
Si: 0.5214 0.5214 0.3895  1 Si 2.47, 1 Pd 2.57